Density functional theory data (PBE-GGA) for a geometry-optimized Cs2PuCuBr6 structure.

**Space group**: P-3m1 (164)

Cell lengths 7.9531, 7.9531, 6.6856 Å; angles 90.00, 90.00, 120.00 degrees
Last column: nearest neighbours and their distance in Å.
Positions (direct):
Cs 0.3333 0.6667 0.2391  12 Br 3.94-4.22
Cs 0.6667 0.3333 0.7609  12 Br 3.94-4.22
Pu 0.0000 0.0000 0.5000  6 Br 2.86
Cu 0.0000 0.0000 0.0000  6 Br 2.75
Br 0.1635 0.3270 0.7647  1 Cu 2.75, 1 Pu 2.86
Br 0.1635 0.8365 0.7647  1 Cu 2.75, 1 Pu 2.86
Br 0.3270 0.1635 0.2353  1 Cu 2.75, 1 Pu 2.86
Br 0.6730 0.8365 0.7647  1 Cu 2.75, 1 Pu 2.86
Br 0.8365 0.1635 0.2353  1 Cu 2.75, 1 Pu 2.86
Br 0.8365 0.6730 0.2353  1 Cu 2.75, 1 Pu 2.86


Density functional theory data (PBE-GGA) for a geometry-optimized Cs3PuCu2Br8 structure.

**Space group**: P-3m1 (164)

Cell lengths 7.8855, 7.8855, 10.1880 Å; angles 90.00, 90.00, 120.00 degrees
Last column: nearest neighbours and their distance in Å.
Positions (direct):
Cs 0.0000 0.0000 0.0000  12 Br 4.08-4.55
Cs 0.3333 0.6667 0.6496  1 Br 3.45
Cs 0.6667 0.3333 0.3504  1 Br 3.45
Pu 0.0000 0.0000 0.5000  6 Br 2.88
Cu 0.3333 0.6667 0.2159  4 Br 2.32-2.53
Cu 0.6667 0.3333 0.7841  4 Br 2.32-2.53
Br 0.1690 0.3379 0.3307  1 Cu 2.53
Br 0.1690 0.8310 0.3307  1 Cu 2.53
Br 0.3333 0.6667 0.9885  1 Cu 2.32
Br 0.3379 0.1690 0.6693  1 Cu 2.53
Br 0.6621 0.8310 0.3307  1 Cu 2.53
Br 0.6667 0.3333 0.0115  1 Cu 2.32
Br 0.8310 0.1690 0.6693  1 Cu 2.53
Br 0.8310 0.6621 0.6693  1 Cu 2.53


Density functional theory data (PBE-GGA) for a geometry-optimized CsPuCuBr6 structure.

**Space group**: C2 (5)

Cell lengths 7.1114, 7.1114, 8.2579 Å; angles 90.02, 90.02, 120.08 degrees
Last column: nearest neighbours and their distance in Å.
Positions (direct):
Cs 0.0000 0.0000 0.0000  6 Br 3.66
Pu 0.6669 0.3331 0.5000  6 Br 2.81
Cu 0.3333 0.6667 0.5000  6 Br 2.67-2.69
Br 0.0145 0.6394 0.6900  1 Cu 2.68, 1 Pu 2.81
Br 0.0150 0.3749 0.3109  1 Cu 2.67, 1 Pu 2.81
Br 0.3606 0.3742 0.6894  1 Cu 2.69, 1 Pu 2.81
Br 0.3606 0.9855 0.3100  1 Cu 2.68, 1 Pu 2.81
Br 0.6251 0.9850 0.6891  1 Cu 2.67, 1 Pu 2.81
Br 0.6258 0.6394 0.3106  1 Cu 2.69, 1 Pu 2.81


Density functional theory data (PBE-GGA) for a geometry-optimized Cs2RbCuBr6 structure.

**Space group**: Fm-3m (225)

Cell lengths 8.2098, 8.2098, 8.2098 Å; angles 60.00, 60.00, 60.00 degrees
Last column: nearest neighbours and their distance in Å.
Positions (direct):
Cs 0.2500 0.2500 0.2500  12 Br 4.12
Cs 0.7500 0.7500 0.7500  12 Br 4.12
Rb 0.0000 0.0000 0.0000  6 Br 3.26
Cu 0.5000 0.5000 0.5000  6 Br 2.54
Br 0.2810 0.2810 0.7190  1 Cu 2.54
Br 0.2810 0.7190 0.2810  1 Cu 2.54
Br 0.2810 0.7190 0.7190  1 Cu 2.54
Br 0.7190 0.2810 0.2810  1 Cu 2.54
Br 0.7190 0.2810 0.7190  1 Cu 2.54
Br 0.7190 0.7190 0.2810  1 Cu 2.54


Density functional theory data (PBE-GGA) for a geometry-optimized CsRbCuBr3 structure.

**Space group**: C2/m (12)

Cell lengths 9.2106, 9.2106, 9.7881 Å; angles 105.25, 105.25, 36.82 degrees
Last column: nearest neighbours and their distance in Å.
Positions (direct):
Cs 0.1433 0.1433 0.0713  7 Br 3.50-3.86
Cs 0.8567 0.8567 0.9287  7 Br 3.50-3.86
Rb 0.1430 0.1430 0.5706  3 Br 3.34-3.57
Rb 0.8570 0.8570 0.4294  3 Br 3.34-3.57
Cu 0.4976 0.4976 0.7379  2 Br 2.38-2.39
Cu 0.5024 0.5024 0.2621  2 Br 2.38-2.39
Br 0.0008 0.0008 0.2615  2 Cu 2.91
Br 0.3555 0.3555 0.6690  1 Cu 2.39
Br 0.3604 0.3604 0.1903  1 Cu 2.38
Br 0.6396 0.6396 0.8097  1 Cu 2.38
Br 0.6445 0.6445 0.3310  1 Cu 2.39
Br 0.9992 0.9992 0.7385  2 Cu 2.91


Density functional theory data (PBE-GGA) for a geometry-optimized Cs2RbCuBr4 structure.

**Space group**: Cmcm (63)

Cell lengths 8.1696, 8.1696, 18.2606 Å; angles 90.00, 90.00, 146.16 degrees
Last column: nearest neighbours and their distance in Å.
Positions (direct):
Cs 0.1435 0.8565 0.5581  6 Br 3.44-3.84
Cs 0.1435 0.8565 0.9419  6 Br 3.44-3.84
Cs 0.8565 0.1435 0.0581  6 Br 3.44-3.84
Cs 0.8565 0.1435 0.4419  6 Br 3.44-3.84
Rb 0.4010 0.5990 0.7500  6 Br 3.56-3.96
Rb 0.5990 0.4010 0.2500  6 Br 3.56-3.96
Cu 0.3107 0.6893 0.2500  4 Br 2.47-2.73
Cu 0.6893 0.3107 0.7500  4 Br 2.47-2.73
Br 0.1039 0.8961 0.7500  2 Cu 2.73
Br 0.2139 0.7861 0.1433  1 Cu 2.47
Br 0.2139 0.7861 0.3567  1 Cu 2.47
Br 0.5000 0.5000 0.0000  4 Cs 3.44
Br 0.5000 0.5000 0.5000  4 Cs 3.44
Br 0.7861 0.2139 0.6433  1 Cu 2.47
Br 0.7861 0.2139 0.8567  1 Cu 2.47
Br 0.8961 0.1039 0.2500  2 Cu 2.73


Density functional theory data (PBE-GGA) for a geometry-optimized Cs2RbCu2Br6 structure.

**Space group**: C2/m (12)

Cell lengths 7.9015, 7.9015, 9.6830 Å; angles 112.20, 112.20, 57.60 degrees
Last column: nearest neighbours and their distance in Å.
Positions (direct):
Cs 0.1995 0.1995 0.1956  9 Br 3.76-4.15
Cs 0.8005 0.8005 0.8044  9 Br 3.76-4.15
Rb 0.0000 0.0000 0.5000  6 Br 3.44
Cu 0.4583 0.4583 0.7557  3 Br 2.32-2.35
Cu 0.5417 0.5417 0.2443  3 Br 2.32-2.35
Br 0.1817 0.6834 0.1748  1 Cu 2.35
Br 0.2730 0.2730 0.6203  1 Cu 2.32
Br 0.3166 0.8183 0.8252  1 Cu 2.35
Br 0.6834 0.1817 0.1748  1 Cu 2.35
Br 0.7270 0.7270 0.3797  1 Cu 2.32
Br 0.8183 0.3166 0.8252  1 Cu 2.35


Density functional theory data (PBE-GGA) for a geometry-optimized Cs2CuRhBr6 structure.

**Space group**: Fmmm (69)

Cell lengths 7.5722, 7.5629, 7.3608 Å; angles 60.96, 60.84, 58.20 degrees
Last column: nearest neighbours and their distance in Å.
Positions (direct):
Cs 0.2500 0.2500 0.2500  12 Br 3.69-3.79
Cs 0.7500 0.7500 0.7500  12 Br 3.69-3.79
Cu 0.0000 0.0000 0.0000  4 Br 2.60-2.62
Rh 0.5000 0.5000 0.5000  6 Br 2.56-2.60
Br 0.2503 0.7497 0.7497  1 Rh 2.60, 1 Cu 2.60
Br 0.2513 0.7487 0.2513  1 Rh 2.59, 1 Cu 2.62
Br 0.2674 0.2674 0.7326  1 Rh 2.56
Br 0.7326 0.7326 0.2674  1 Rh 2.56
Br 0.7487 0.2513 0.7487  1 Rh 2.59, 1 Cu 2.62
Br 0.7497 0.2503 0.2503  1 Rh 2.60, 1 Cu 2.60


Density functional theory data (PBE-GGA) for a geometry-optimized CsCuRuBr6 structure.

**Space group**: P312 (149)

Cell lengths 6.7162, 6.7162, 8.2546 Å; angles 90.00, 90.00, 120.00 degrees
Last column: nearest neighbours and their distance in Å.
Positions (direct):
Cs 0.0000 0.0000 0.0000  6 Br 3.65
Cu 0.6667 0.3333 0.5000  6 Br 2.63
Ru 0.3333 0.6667 0.5000  6 Br 2.52
Br 0.0126 0.3714 0.6724  1 Ru 2.52, 1 Cu 2.63
Br 0.0126 0.6412 0.3276  1 Ru 2.52, 1 Cu 2.63
Br 0.3588 0.3714 0.3276  1 Ru 2.52, 1 Cu 2.63
Br 0.3588 0.9874 0.6724  1 Ru 2.52, 1 Cu 2.63
Br 0.6286 0.6412 0.6724  1 Ru 2.52, 1 Cu 2.63
Br 0.6286 0.9874 0.3276  1 Ru 2.52, 1 Cu 2.63


Density functional theory data (PBE-GGA) for a geometry-optimized CsCu2RuBr8 structure.

**Space group**: R32 (155)

Cell lengths 11.9976, 11.9976, 11.9976 Å; angles 31.05, 31.05, 31.05 degrees
Last column: nearest neighbours and their distance in Å.
Positions (direct):
Cs 0.0000 0.0000 0.0000  6 Br 3.86
Cu 0.2335 0.2335 0.2335  4 Br 2.36-2.42
Cu 0.7665 0.7665 0.7665  4 Br 2.36-2.42
Ru 0.5000 0.5000 0.5000  6 Br 2.54
Br 0.1606 0.4347 0.7604  1 Cu 2.42, 1 Ru 2.54
Br 0.2396 0.5653 0.8394  1 Cu 2.42, 1 Ru 2.54
Br 0.3023 0.3023 0.3023  1 Cu 2.36
Br 0.4347 0.7604 0.1606  1 Cu 2.42, 1 Ru 2.54
Br 0.5653 0.8394 0.2396  1 Cu 2.42, 1 Ru 2.54
Br 0.6977 0.6977 0.6977  1 Cu 2.36
Br 0.7604 0.1606 0.4347  1 Cu 2.42, 1 Ru 2.54
Br 0.8394 0.2396 0.5653  1 Cu 2.42, 1 Ru 2.54


Density functional theory data (PBE-GGA) for a geometry-optimized Cs2CuSBr structure.

**Space group**: P4/mmm (123)

Cell lengths 6.8496, 6.8496, 4.2554 Å; angles 90.00, 90.00, 90.00 degrees
Last column: nearest neighbours and their distance in Å.
Positions (direct):
Cs 0.0000 0.5000 0.0000  2 S 3.42
Cs 0.5000 0.0000 0.0000  2 S 3.42
Cu 0.0000 0.0000 0.5000  2 S 2.13
S 0.0000 0.0000 0.0000  2 Cu 2.13
Br 0.5000 0.5000 0.5000  8 Cs 4.03, 2 Br 4.26


Density functional theory data (PBE-GGA) for a geometry-optimized Cs2Cu2SbBr6 structure.

**Space group**: C2/m (12)

Cell lengths 8.3023, 8.3023, 7.5826 Å; angles 108.13, 108.13, 55.44 degrees
Last column: nearest neighbours and their distance in Å.
Positions (direct):
Cs 0.2213 0.2213 0.2070  8 Br 3.73-4.04
Cs 0.7787 0.7787 0.7930  8 Br 3.73-4.04
Cu 0.4516 0.4516 0.8059  3 Br 2.34-2.42
Cu 0.5484 0.5484 0.1941  3 Br 2.34-2.42
Sb 0.0000 0.0000 0.5000  4 Br 2.84
Br 0.2028 0.6964 0.2098  1 Cu 2.42
Br 0.2830 0.2830 0.7279  1 Cu 2.34
Br 0.3036 0.7972 0.7902  1 Cu 2.42
Br 0.6964 0.2028 0.2098  1 Cu 2.42
Br 0.7170 0.7170 0.2721  1 Cu 2.34
Br 0.7972 0.3036 0.7902  1 Cu 2.42


Number 1: formation energy (no corrections) -1.393 eV/atom, magnetic moment 5.0 μB/cell. Number 2: formation energy (no corrections) -1.266 eV/atom, magnetic moment 5.0 μB/cell. Number 3: formation energy (no corrections) -1.182 eV/atom, magnetic moment 4.0 μB/cell. Number 4: formation energy (no corrections) -1.082 eV/atom, magnetic moment 2.0 μB/cell. Number 5: formation energy (no corrections) -1.201 eV/atom, magnetic moment 0.0 μB/cell. Number 6: formation energy (no corrections) -1.335 eV/atom, magnetic moment 0.3 μB/cell. Number 7: formation energy (no corrections) -1.113 eV/atom, magnetic moment 1.1 μB/cell. Number 8: formation energy (no corrections) -0.882 eV/atom, magnetic moment 0.0 μB/cell. Number 9: formation energy (no corrections) -0.596 eV/atom, magnetic moment 2.1 μB/cell. Number 10: formation energy (no corrections) -0.434 eV/atom, magnetic moment 0.9 μB/cell. Number 11: formation energy (no corrections) -1.030 eV/atom, magnetic moment 0.0 μB/cell. Number 12: formation energy (no corrections) -0.842 eV/atom, magnetic moment 1.0 μB/cell.